The following is a DFT calculation (PBE-GGA) of a geometry-optimized K2PuScO6 structure.

Values from the calculation:
**Total magnetic moment**: 4.00 μB/cell
**Crystal system**: cubic
**Raw formation energy**: -2.5344 eV per atom

abc: 8.322 8.322 8.322
angles: 90.00 90.00 90.00
Space group Fm-3m (No. 225)
One atom of each set of equivalent atoms:
K  0.250  0.250  0.250 [8 per cell]
Pu  0.000  0.000  0.000 [4 per cell]
Sc  0.000  0.000  0.500 [4 per cell]
O  0.000  0.000  0.243 [24 per cell]

---

The following is a DFT calculation (PBE-GGA) of a geometry-optimized La3Tb6HoTm2 structure.

Values from the calculation:
**ΔH_f (0 K)**: 0.0243 eV per atom
**Total magnetic moment**: 0.00 μB/cell
**Crystal system**: monoclinic
**DOS at the Fermi energy**: 1.45 states/eV/atom

abc: 6.224 10.785 11.907
angles: 90.00 100.06 90.00
Space group C2/m (No. 12)
One atom of each set of equivalent atoms:
La  0.000  0.000  0.000 [2 per cell]
La  0.000  0.333  0.000 [4 per cell]
Tb  0.247  0.000  0.743 [4 per cell]
Tb  0.247  0.333  0.743 [8 per cell]
Ho  0.000  0.500  0.500 [2 per cell]
Tm  0.000  0.167  0.500 [4 per cell]

---

The following is a DFT calculation (PBE-GGA) of a geometry-optimized La2HfGaPt structure.

Values from the calculation:
**ΔH_f (0 K)**: 0.0166 eV per atom
**Total magnetic moment**: 0.00 μB/cell
**Crystal system**: tetragonal
**DOS at the Fermi energy**: 1.96 states/eV/atom

abc: 5.607 5.607 4.816
angles: 90.00 90.00 90.00
Space group P4/mmm (No. 123)
One atom of each set of equivalent atoms:
La  0.000  0.500  0.000 [2 per cell]
Hf  0.000  0.000  0.500 [1 per cell]
Ga  0.500  0.500  0.500 [1 per cell]
Pt  0.500  0.500  0.000 [1 per cell]

---

The following is a DFT calculation (PBE-GGA) of a geometry-optimized ReGeMo structure.

Values from the calculation:
**ΔH_f (0 K)**: 0.0838 eV per atom
**Total magnetic moment**: 0.00 μB/cell
**Crystal system**: hexagonal
**DOS at the Fermi energy**: 0.57 states/eV/atom

abc: 4.3117 4.3117 2.8693
angles: 90.00 90.00 120.00
Space group P-6m2 (No. 187)
One atom of each set of equivalent atoms:
Re  0.0000  0.0000  0.0000 [1 per cell]
Ge  0.6667  0.3333  0.0000 [1 per cell]
Mo  0.3333  0.6667  0.5000 [1 per cell]

---

The following is a DFT calculation (PBE-GGA) of a geometry-optimized K2CaBr structure.

Values from the calculation:
**Total magnetic moment**: 0.00 μB/cell
**Crystal system**: monoclinic
**Polymorph energy (0 for the lowest one)**: 72 meV/atom
**Raw formation energy**: -0.6586 eV per atom
**DOS at the Fermi energy**: 0.66 states/eV/atom

abc: 4.241 4.037 11.449
angles: 90.00 100.53 90.00
Space group Pm (No. 6)
One atom of each set of equivalent atoms:
K  0.000  0.000  0.000 [1 per cell]
K  0.320  0.500  0.655 [1 per cell]
Ca  0.640  0.500  0.286 [1 per cell]
Br  0.741  0.000  0.494 [1 per cell]

---

The following is a DFT calculation (PBE-GGA) of a geometry-optimized PtIBrO2 structure.

Values from the calculation:
**Total magnetic moment**: 0.00 μB/cell
**Crystal system**: tetragonal
**Polymorph energy (0 for the lowest one)**: 0 meV/atom
**Raw formation energy**: 0.1930 eV per atom
**DOS at the Fermi energy**: 0.55 states/eV/atom

abc: 3.945 3.945 8.108
angles: 90.00 90.00 90.00
Space group P4/mmm (No. 123)
One atom of each set of equivalent atoms:
Pt  0.000  0.000  0.000 [1 per cell]
I  0.000  0.000  0.500 [1 per cell]
Br  0.500  0.500  0.500 [1 per cell]
O  0.000  0.500  0.000 [2 per cell]

---

The following is a DFT calculation (PBE-GGA) of a geometry-optimized YBiAs2Se structure.

Values from the calculation:
**Total magnetic moment**: 0.00 μB/cell
**Crystal system**: tetragonal
**Polymorph energy (0 for the lowest one)**: 139 meV/atom
**Raw formation energy**: 0.2957 eV per atom
**DOS at the Fermi energy**: 0.86 states/eV/atom

abc: 5.314 5.314 5.447
angles: 90.00 90.00 90.00
Space group P4/mmm (No. 123)
One atom of each set of equivalent atoms:
Y  0.000  0.000  0.000 [1 per cell]
Bi  0.500  0.500  0.500 [1 per cell]
As  0.000  0.500  0.500 [2 per cell]
Se  0.500  0.500  0.000 [1 per cell]

---

The following is a DFT calculation (PBE-GGA) of a geometry-optimized CeSm3Er structure.

Values from the calculation:
**ΔH_f (0 K)**: 0.1550 eV per atom
**Total magnetic moment**: 1.60 μB/cell
**Crystal system**: monoclinic
**DOS at the Fermi energy**: 1.95 states/eV/atom

abc: 6.574 11.466 8.777
angles: 90.00 99.77 90.00
Space group P2_1/m (No. 11)
One atom of each set of equivalent atoms:
Ce  0.030  0.250  0.103 [2 per cell]
Ce  0.146  0.750  0.197 [2 per cell]
Sm  0.138  0.614  0.567 [4 per cell]
Sm  0.221  0.033  0.900 [4 per cell]
Sm  0.358  0.038  0.307 [4 per cell]
Er  0.348  0.250  0.615 [2 per cell]
Er  0.462  0.750  0.929 [2 per cell]

---

The following is a DFT calculation (PBE-GGA) of a geometry-optimized Ce4Pr2Pb3N2 structure.

Values from the calculation:
**Total magnetic moment**: 5.91 μB/cell
**Crystal system**: tetragonal
**Raw formation energy**: -0.8009 eV per atom
**DOS at the Fermi energy**: 1.85 states/eV/atom

abc: 4.771 4.771 26.780
angles: 90.00 90.00 90.00
Space group I4/mmm (No. 139)
One atom of each set of equivalent atoms:
Ce  0.000  0.500  0.085 [8 per cell]
Pr  0.000  0.000  0.195 [4 per cell]
Pb  0.000  0.000  0.322 [4 per cell]
Pb  0.000  0.000  0.500 [2 per cell]
N  0.000  0.000  0.103 [4 per cell]

---

The following is a DFT calculation (PBE-GGA) of a geometry-optimized Ho5ZnBi2 structure.

Values from the calculation:
**ΔH_f (0 K)**: -0.0880 eV per atom
**Total magnetic moment**: 0.00 μB/cell
**Crystal system**: orthorhombic
**DOS at the Fermi energy**: 1.39 states/eV/atom

abc: 5.722 14.712 13.411
angles: 90.00 90.00 90.00
Space group Cmcm (No. 63)
One atom of each set of equivalent atoms:
Ho  0.000  0.079  0.115 [8 per cell]
Ho  0.000  0.305  0.750 [4 per cell]
Ho  0.000  0.316  0.032 [8 per cell]
Zn  0.000  0.232  0.250 [4 per cell]
Bi  0.000  0.133  0.606 [8 per cell]

---

The following is a DFT calculation (PBE-GGA) of a geometry-optimized Ag6P6O19 structure.

Values from the calculation:
**Total magnetic moment**: 6.31 μB/cell
**Crystal system**: trigonal
**Raw formation energy**: -1.3938 eV per atom
**DOS at the Fermi energy**: 0.44 states/eV/atom

abc: 15.6962 15.6962 6.7159
angles: 90.00 90.00 120.00
Space group R-3 (No. 148, hexagonal axes)
One atom of each set of equivalent atoms:
Ag  0.0516  0.2511  0.4790 [18 per cell]
P  0.0424  0.2085  0.9866 [18 per cell]
O  0.0000  0.0000  0.5000 [3 per cell]
O  0.0185  0.2437  0.7984 [18 per cell]
O  0.0523  0.8883  0.9257 [18 per cell]
O  0.0532  0.4722  0.8237 [18 per cell]

---

The following is a DFT calculation (PBE-GGA) of a geometry-optimized NdHo5Mg structure.

Values from the calculation:
**ΔH_f (0 K)**: 0.2245 eV per atom
**Total magnetic moment**: 0.00 μB/cell
**Crystal system**: orthorhombic
**DOS at the Fermi energy**: 1.55 states/eV/atom

abc: 6.315 6.502 10.863
angles: 90.00 90.00 90.00
Space group Imm2 (No. 44)
One atom of each set of equivalent atoms:
Nd  0.000  0.000  0.000 [2 per cell]
Ho  0.000  0.235  0.631 [4 per cell]
Ho  0.000  0.500  0.379 [2 per cell]
Ho  0.241  0.000  0.347 [4 per cell]
Mg  0.000  0.500  0.104 [2 per cell]

---

- The highest total magnetic moment belongs to which entry?
  Ag6P6O19

---

- What is the formula in the fifth record?
  K2CaBr

---

- Look up the total magnetic moment of the ninth one.
  5.91 μB/cell